Record 1
## Ca3CuAu (PBE)

Data for crystalline Ca3CuAu at its relaxed geometry.

a b c (Å): 15.9862 4.1355 8.4371
angles (deg): 90.00 90.57 90.00
Last column: nearest neighbours and their distance in Å.
Space group C2/m (No. 12)
One atom of each set of equivalent atoms:
Ca 0.0514 0.0000 0.1847 [4 per cell]  4 Au 3.09-3.33, 1 Cu 3.40
Ca 0.1050 0.5000 0.5667 [4 per cell]  3 Cu 2.87-2.91, 1 Au 3.06
Ca 0.2407 0.0000 0.8171 [4 per cell]  3 Cu 3.11-3.17, 3 Au 3.19-3.30
Cu 0.2155 0.0000 0.4445 [4 per cell]  2 Cu 2.52
Au 0.1010 0.5000 0.9294 [4 per cell]  8 Ca 3.06-3.33

Summary:
Formation energy, kJ per mole of atoms: -37.8
Theoretical density, Mg/m³: 4.5
DOS(E_F), states/eV per atom: 0.62

***

Record 2
## CaCu2Au5 (PBE)

Data for crystalline CaCu2Au5 at its relaxed geometry.

a b c (Å): 4.0213 7.7545 9.7820
angles (deg): 90.00 90.00 90.00
Last column: nearest neighbours and their distance in Å.
Space group Immm (No. 71)
One atom of each set of equivalent atoms:
Ca 0.0000 0.0000 0.0000 [2 per cell]  4 Cu 3.06
Cu 0.0000 0.5000 0.2639 [4 per cell]  7 Au 2.53-2.74
Au 0.0000 0.1923 0.3500 [8 per cell]  3 Cu 2.53-2.74
Au 0.0000 0.5000 0.0000 [2 per cell]  2 Cu 2.58

Summary:
Formation energy, kJ per mole of atoms: -19.6
Theoretical density, Mg/m³: 12.5
DOS(E_F), states/eV per atom: 0.31

***

Record 3
## Ca6CuAu3 (PBE)

Data for crystalline Ca6CuAu3 at its relaxed geometry.

a b c (Å): 10.9646 4.3543 13.0568
angles (deg): 90.00 110.23 90.00
Last column: nearest neighbours and their distance in Å.
Space group P2_1/m (No. 11)
One atom of each set of equivalent atoms:
Ca 0.0260 0.2500 0.3866 [2 per cell]  3 Au 2.95-3.09
Ca 0.0734 0.2500 0.9070 [2 per cell]  4 Au 3.14-3.36
Ca 0.2528 0.7500 0.3271 [2 per cell]  2 Cu 2.98, 3 Au 3.00
Ca 0.3414 0.7500 0.7955 [2 per cell]  3 Au 2.99-3.19, 1 Cu 3.20
Ca 0.3437 0.7500 0.1012 [2 per cell]  5 Au 3.01-3.34, 2 Cu 3.14
Ca 0.3992 0.2500 0.5757 [2 per cell]  2 Au 3.02, 2 Cu 3.10
Cu 0.4150 0.2500 0.2856 [2 per cell]  1 Au 2.81, 6 Ca 2.98-3.14
Au 0.1478 0.2500 0.1616 [2 per cell]  1 Cu 2.81, 5 Ca 3.00-3.15
Au 0.1975 0.7500 0.5369 [2 per cell]  7 Ca 2.95-3.19
Au 0.3963 0.2500 0.9627 [2 per cell]  5 Ca 2.99-3.24, 2 Au 3.05

Summary:
Formation energy, kJ per mole of atoms: -48.4
Theoretical density, Mg/m³: 5.1
DOS(E_F), states/eV per atom: 0.67

***

Record 4
## Ca5Cu2Au12 (PBE)

Data for crystalline Ca5Cu2Au12 at its relaxed geometry.

a b c (Å): 15.4358 7.5244 6.9632
angles (deg): 90.00 94.57 90.00
Last column: nearest neighbours and their distance in Å.
Space group C2/m (No. 12)
One atom of each set of equivalent atoms:
Ca 0.0000 0.0000 0.0000 [2 per cell]  10 Au 3.00-3.33
Ca 0.1899 0.5000 0.5451 [4 per cell]  7 Au 2.99-3.15, 2 Cu 3.28
Ca 0.2439 0.0000 0.9292 [4 per cell]  10 Au 3.11-3.30
Cu 0.0000 0.3027 0.5000 [4 per cell]  6 Au 2.73-2.78, 1 Cu 2.97
Au 0.0553 0.5000 0.2036 [4 per cell]  2 Cu 2.73, 6 Au 2.78-3.06, 1 Ca 3.03
Au 0.0969 0.0000 0.5896 [4 per cell]  2 Cu 2.77, 4 Au 2.87-2.90
Au 0.1032 0.2984 0.8462 [8 per cell]  1 Cu 2.78, 5 Au 2.87-3.06, 2 Ca 2.99-3.00
Au 0.1491 0.1860 0.2523 [8 per cell]  4 Au 2.78-2.98, 1 Ca 3.09, 1 Cu 3.11

Summary:
Formation energy, kJ per mole of atoms: -48.7
Theoretical density, Mg/m³: 11.1
DOS(E_F), states/eV per atom: 0.35

***

Record 5
## Ca4CuAu3 (PBE)

Data for crystalline Ca4CuAu3 at its relaxed geometry.

a b c (Å): 4.1681 4.4373 11.0896
angles (deg): 90.00 90.00 90.00
Last column: nearest neighbours and their distance in Å.
Space group Pmm2 (No. 25)
One atom of each set of equivalent atoms:
Ca 0.0000 0.0000 0.0000 [1 per cell]  5 Au 3.07-3.15, 2 Cu 3.10
Ca 0.0000 0.5000 0.2787 [1 per cell]  3 Au 3.06-3.10, 4 Cu 3.14
Ca 0.5000 0.0000 0.4970 [1 per cell]  6 Au 3.11-3.26, 1 Cu 3.21
Ca 0.5000 0.5000 0.7824 [1 per cell]  7 Au 3.11-3.27
Cu 0.5000 0.0000 0.2074 [1 per cell]  2 Au 2.68
Au 0.0000 0.0000 0.7228 [1 per cell]  2 Au 2.90, 5 Ca 3.07-3.11
Au 0.0000 0.5000 0.5547 [1 per cell]  2 Au 2.90, 5 Ca 3.06-3.11
Au 0.5000 0.5000 0.0715 [1 per cell]  2 Cu 2.68

Summary:
Formation energy, kJ per mole of atoms: -62.6
Theoretical density, Mg/m³: 6.6
DOS(E_F), states/eV per atom: 0.47

***

Record 6
## Ca3CuAu3 (PBE)

Data for crystalline Ca3CuAu3 at its relaxed geometry.

a b c (Å): 10.9575 4.2399 15.3064
angles (deg): 90.00 108.93 90.00
Last column: nearest neighbours and their distance in Å.
Space group C2/m (No. 12)
One atom of each set of equivalent atoms:
Ca 0.0332 0.0000 0.3907 [4 per cell]  3 Cu 3.03-3.31, 6 Au 3.10-3.20
Ca 0.1039 0.0000 0.9212 [4 per cell]  7 Au 3.05-3.23
Ca 0.2439 0.0000 0.2362 [4 per cell]  6 Au 3.11-3.18, 2 Cu 3.19
Cu 0.2306 0.5000 0.3890 [4 per cell]  4 Au 2.58-2.88
Au 0.0283 0.5000 0.2370 [4 per cell]  1 Cu 2.64, 1 Au 2.90
Au 0.1179 0.5000 0.0785 [4 per cell]  2 Au 2.90, 7 Ca 3.05-3.23
Au 0.1385 0.5000 0.5448 [4 per cell]  3 Cu 2.58-2.88

Summary:
Formation energy, kJ per mole of atoms: -63.6
Theoretical density, Mg/m³: 7.6
DOS(E_F), states/eV per atom: 0.52

***

Record 7
## Ca2Cu5Au12 (PBE)

Data for crystalline Ca2Cu5Au12 at its relaxed geometry.

a b c (Å): 9.2934 9.2934 14.0966
angles (deg): 90.00 90.00 120.00
Last column: nearest neighbours and their distance in Å.
Space group R-3m (No. 166, hexagonal axes)
One atom of each set of equivalent atoms:
Ca 0.0000 0.0000 0.1619 [6 per cell]  12 Au 3.24-3.54, 4 Cu 3.48-3.61
Cu 0.0000 0.0000 0.4087 [6 per cell]  1 Cu 2.57, 3 Au 2.80
Cu 0.0000 0.5000 0.0000 [9 per cell]  8 Au 2.61-2.75, 2 Cu 2.89
Au 0.0000 0.3045 0.5000 [18 per cell]  2 Cu 2.75, 6 Au 2.83-2.90
Au 0.0213 0.5107 0.3462 [18 per cell]  3 Cu 2.61-2.80, 6 Au 2.83-2.90

Summary:
Formation energy, kJ per mole of atoms: -23.7
Theoretical density, Mg/m³: 13.0
DOS(E_F), states/eV per atom: 0.25

***

Record 8
## CaCu2Au8 (PBE)

Data for crystalline CaCu2Au8 at its relaxed geometry.

a b c (Å): 5.5589 5.5589 8.2262
angles (deg): 90.00 90.00 90.00
Last column: nearest neighbours and their distance in Å.
Space group P4/mmm (No. 123)
One atom of each set of equivalent atoms:
Ca 0.0000 0.0000 0.0000 [1 per cell]  8 Au 3.07
Cu 0.0000 0.5000 0.5000 [2 per cell]  8 Au 2.64
Au 0.2516 0.2516 0.2852 [8 per cell]  2 Cu 2.64, 4 Au 2.76-2.80

Summary:
Formation energy, kJ per mole of atoms: -3.0
Theoretical density, Mg/m³: 11.4
DOS(E_F), states/eV per atom: 0.29

***

Record 9
## Ca4Cu3Au (PBE)

Data for crystalline Ca4Cu3Au at its relaxed geometry.

a b c (Å): 4.1886 4.2924 10.9165
angles (deg): 90.00 90.00 90.00
Last column: nearest neighbours and their distance in Å.
Space group Pmm2 (No. 25)
One atom of each set of equivalent atoms:
Ca 0.0000 0.0000 0.0000 [1 per cell]  6 Cu 3.03-3.13, 1 Au 3.15
Ca 0.0000 0.5000 0.2803 [1 per cell]  7 Cu 3.02-3.14
Ca 0.5000 0.0000 0.4966 [1 per cell]  5 Cu 3.10-3.24, 2 Au 3.14
Ca 0.5000 0.5000 0.7837 [1 per cell]  4 Au 3.10, 3 Cu 3.15-3.24
Cu 0.0000 0.5000 0.5676 [1 per cell]  2 Au 2.66
Cu 0.5000 0.0000 0.2001 [1 per cell]  2 Cu 2.51
Cu 0.5000 0.5000 0.0808 [1 per cell]  2 Cu 2.51
Au 0.0000 0.0000 0.7111 [1 per cell]  2 Cu 2.66

Summary:
Formation energy, kJ per mole of atoms: -31.2
Theoretical density, Mg/m³: 4.6
DOS(E_F), states/eV per atom: 0.42

***

Record 10
## Ca3CuAu (PBE)

Data for crystalline Ca3CuAu at its relaxed geometry.

a b c (Å): 5.4086 5.4086 5.4086
angles (deg): 90.00 90.00 90.00
Last column: nearest neighbours and their distance in Å.
Space group Pm-3m (No. 221)
One atom of each set of equivalent atoms:
Ca 0.0000 0.0000 0.5000 [3 per cell]  2 Cu 2.70
Cu 0.0000 0.0000 0.0000 [1 per cell]  6 Ca 2.70
Au 0.5000 0.5000 0.5000 [1 per cell]  12 Ca 3.82

Summary:
Formation energy, kJ per mole of atoms: -5.8
Theoretical density, Mg/m³: 4.0
DOS(E_F), states/eV per atom: 0.49

***

Record 11
## CaCuAu6 (PBE)

Data for crystalline CaCuAu6 at its relaxed geometry.

a b c (Å): 4.0466 4.0466 10.0772
angles (deg): 90.00 90.00 90.00
Last column: nearest neighbours and their distance in Å.
Space group P4/mmm (No. 123)
One atom of each set of equivalent atoms:
Ca 0.0000 0.0000 0.0000 [1 per cell]  8 Au 3.16
Cu 0.0000 0.0000 0.5000 [1 per cell]  8 Au 2.63
Au 0.0000 0.5000 0.3339 [4 per cell]  2 Cu 2.63, 6 Au 2.86
Au 0.5000 0.5000 0.1333 [2 per cell]  5 Au 2.69-2.86

Summary:
Formation energy, kJ per mole of atoms: -23.3
Theoretical density, Mg/m³: 12.9
DOS(E_F), states/eV per atom: 0.11